No. 1
A geometry-optimized CeErCuTc structure. Source: Alexandria, functional PBE.

## Properties
total moment = 0.0001 μB per atom
symmetry = F-43m, No. 216
energy relative to the elements = -0.104 eV per atom
E_tot = -6.34 eV per atom

Cell: 4.8750 4.8750 4.8750 Å, 60.00 60.00 60.00°
Element x y z (fractional)
Tc  0.7500  0.7500  0.7500
Er  0.0000  0.0000  0.0000
Ce  0.5000  0.5000  0.5000
Cu  0.2500  0.2500  0.2500

=====

No. 2
A geometry-optimized BaOs3Se structure. Source: Alexandria, functional PBE.

## Properties
total moment = 0.0000 μB per atom
symmetry = Pm-3m, No. 221
E above lowest polymorph = 0.0 meV/atom
E_tot = -6.44 eV per atom
energy relative to the elements, uncorrected = 133.35 kJ/mol of atoms

Cell: 4.7274 4.7274 4.7274 Å, 90.00 90.00 90.00°
Element x y z (fractional)
Os  0.0000  0.0000  0.5000
Os  0.5000  0.0000  0.0000
Os  0.0000  0.5000  0.0000
Se  0.0000  0.0000  0.0000
Ba  0.5000  0.5000  0.5000